Entry 1:
Density functional theory data (PBE) for a relaxed Pm2NdHoBi5 crystal.

Lattice parameters (Å, degrees): 5.5681 5.5681 11.9314 90.00 90.00 90.00
Fractional positions:
1 Pm 0.0000 0.0000 0.2254
2 Pm 0.0000 0.0000 0.7746
3 Nd 0.5000 0.5000 0.0000
4 Ho 0.5000 0.5000 0.5000
5 Bi 0.0000 0.0000 0.5000
6 Bi 0.0000 0.5000 0.0000
7 Bi 0.5000 0.0000 0.0000
8 Bi 0.5000 0.5000 0.2575
9 Bi 0.5000 0.5000 0.7425

Output
* energy of formation from the pure elements: 1.9 kJ per mole of atoms
* total moment: 0.00 μB/cell
* D(E_F): 5.99 states/eV/f.u.
* DFT total energy: -38.1 eV for the cell shown

=====

Entry 2:
Density functional theory data (PBE) for a relaxed PmNdHo2Bi4 crystal.

Lattice parameters (Å, degrees): 7.8363 4.5329 7.8466 90.00 109.49 90.00
Fractional positions:
1 Pm 0.0000 0.0000 0.0000
2 Nd 0.0000 0.5000 0.5000
3 Ho 0.5000 0.0000 0.5000
4 Ho 0.5000 0.5000 0.0000
5 Bi 0.2592 0.0000 0.7540
6 Bi 0.2587 0.5000 0.2520
7 Bi 0.7408 0.0000 0.2460
8 Bi 0.7413 0.5000 0.7480

Output
* energy of formation from the pure elements: -85.7 kJ per mole of atoms
* total moment: 0.00 μB/cell
* D(E_F): 1.24 states/eV/f.u.
* DFT total energy: -41.3 eV for the cell shown

=====

Entry 3:
Density functional theory data (PBE) for a relaxed Pm3Nd2HoBi6 crystal.

Lattice parameters (Å, degrees): 10.2152 10.2152 9.1389 102.91 102.91 25.86
Fractional positions:
1 Pm 0.0000 0.0000 0.0000
2 Pm 0.3320 0.3320 0.6663
3 Pm 0.6680 0.6680 0.3337
4 Nd 0.3342 0.3342 0.1676
5 Nd 0.6658 0.6658 0.8324
6 Ho 0.0000 0.0000 0.5000
7 Bi 0.1642 0.1642 0.5803
8 Bi 0.1664 0.1664 0.0842
9 Bi 0.4987 0.4987 0.7438
10 Bi 0.5013 0.5013 0.2562
11 Bi 0.8336 0.8336 0.9158
12 Bi 0.8358 0.8358 0.4197

Output
* energy of formation from the pure elements: -89.1 kJ per mole of atoms
* total moment: 0.00 μB/cell
* D(E_F): 2.04 states/eV/f.u.
* DFT total energy: -62.7 eV for the cell shown

=====

Entry 4:
Density functional theory data (PBE) for a relaxed PmNd2HoBi4 crystal.

Lattice parameters (Å, degrees): 7.9052 4.5688 7.9078 90.00 109.49 90.00
Fractional positions:
1 Pm 0.0000 0.0000 0.0000
2 Nd 0.5000 0.0000 0.5000
3 Nd 0.5000 0.5000 0.0000
4 Ho 0.0000 0.5000 0.5000
5 Bi 0.2428 0.0000 0.7441
6 Bi 0.2454 0.5000 0.2521
7 Bi 0.7546 0.5000 0.7479
8 Bi 0.7572 0.0000 0.2559

Output
* energy of formation from the pure elements: -88.3 kJ per mole of atoms
* total moment: 0.00 μB/cell
* D(E_F): 1.20 states/eV/f.u.
* DFT total energy: -41.7 eV for the cell shown

=====

Entry 5:
Density functional theory data (PBE) for a relaxed PrNd2HoBi4 crystal.

Lattice parameters (Å, degrees): 7.9343 4.5854 7.9363 90.00 109.48 90.00
Fractional positions:
1 Pr 0.0000 0.0000 0.0000
2 Nd 0.0000 0.5000 0.5000
3 Nd 0.5000 0.0000 0.5000
4 Ho 0.5000 0.5000 0.0000
5 Bi 0.2547 0.5000 0.2480
6 Bi 0.2572 0.0000 0.7559
7 Bi 0.7428 0.0000 0.2441
8 Bi 0.7453 0.5000 0.7520

Output
* energy of formation from the pure elements: -88.5 kJ per mole of atoms
* total moment: 0.00 μB/cell
* D(E_F): 1.17 states/eV/f.u.
* DFT total energy: -41.8 eV for the cell shown

=====

Entry 6:
Density functional theory data (PBE) for a relaxed PrNdHo2Bi4 crystal.

Lattice parameters (Å, degrees): 7.8614 4.5491 7.8750 90.00 109.50 90.00
Fractional positions:
1 Pr 0.0000 0.0000 0.0000
2 Nd 0.0000 0.5000 0.5000
3 Ho 0.5000 0.0000 0.5000
4 Ho 0.5000 0.5000 0.0000
5 Bi 0.2606 0.0000 0.7526
6 Bi 0.2612 0.5000 0.2546
7 Bi 0.7394 0.0000 0.2474
8 Bi 0.7388 0.5000 0.7454

Output
* energy of formation from the pure elements: -86.0 kJ per mole of atoms
* total moment: 0.00 μB/cell
* D(E_F): 1.24 states/eV/f.u.
* DFT total energy: -41.4 eV for the cell shown

=====

Entry 7:
Density functional theory data (PBE) for a relaxed PrNd2Ho3Bi6 crystal.

Lattice parameters (Å, degrees): 10.1474 10.1474 9.0773 102.77 102.77 25.87
Fractional positions:
1 Pr 0.0000 0.0000 0.0000
2 Nd 0.3332 0.3332 0.6669
3 Nd 0.6668 0.6668 0.3331
4 Ho 0.0000 0.0000 0.5000
5 Ho 0.3336 0.3336 0.1672
6 Ho 0.6664 0.6664 0.8328
7 Bi 0.1644 0.1644 0.5885
8 Bi 0.1695 0.1695 0.0778
9 Bi 0.4980 0.4980 0.2570
10 Bi 0.5020 0.5020 0.7430
11 Bi 0.8305 0.8305 0.9222
12 Bi 0.8356 0.8356 0.4115

Output
* energy of formation from the pure elements: -86.0 kJ per mole of atoms
* total moment: 0.00 μB/cell
* D(E_F): 2.02 states/eV/f.u.
* DFT total energy: -62.0 eV for the cell shown

=====

Entry 8:
Density functional theory data (PBE) for a relaxed Pr2NdHoBi4 crystal.

Lattice parameters (Å, degrees): 7.9469 4.5935 7.9493 90.00 109.49 90.00
Fractional positions:
1 Pr 0.0000 0.0000 0.0000
2 Pr 0.0000 0.5000 0.5000
3 Nd 0.5000 0.0000 0.5000
4 Ho 0.5000 0.5000 0.0000
5 Bi 0.2553 0.5000 0.2473
6 Bi 0.2585 0.0000 0.7572
7 Bi 0.7415 0.0000 0.2428
8 Bi 0.7447 0.5000 0.7527

Output
* energy of formation from the pure elements: -88.9 kJ per mole of atoms
* total moment: 0.00 μB/cell
* D(E_F): 1.18 states/eV/f.u.
* DFT total energy: -41.8 eV for the cell shown

=====

Entry 9:
Density functional theory data (PBE) for a relaxed NdHo2PuBi4 crystal.

Lattice parameters (Å, degrees): 7.8243 4.5236 7.8338 90.00 109.46 90.00
Fractional positions:
1 Nd 0.0000 0.0000 0.0000
2 Ho 0.5000 0.0000 0.5000
3 Ho 0.5000 0.5000 0.0000
4 Pu 0.0000 0.5000 0.5000
5 Bi 0.2562 0.0000 0.7496
6 Bi 0.2580 0.5000 0.2553
7 Bi 0.7420 0.5000 0.7447
8 Bi 0.7438 0.0000 0.2504

Output
* energy of formation from the pure elements: -70.5 kJ per mole of atoms
* total moment: 5.16 μB/cell
* D(E_F): 17.43 states/eV/f.u.
* DFT total energy: -49.6 eV for the cell shown

=====

Entry 10:
Density functional theory data (PBE) for a relaxed NdHoPu2Bi4 crystal.

Lattice parameters (Å, degrees): 7.8609 4.5362 7.8641 90.00 109.47 90.00
Fractional positions:
1 Nd 0.0000 0.0000 0.0000
2 Ho 0.5000 0.5000 0.0000
3 Pu 0.0000 0.5000 0.5000
4 Pu 0.5000 0.0000 0.5000
5 Bi 0.2549 0.0000 0.7503
6 Bi 0.2558 0.5000 0.2532
7 Bi 0.7442 0.5000 0.7468
8 Bi 0.7451 0.0000 0.2497

Output
* energy of formation from the pure elements: -58.2 kJ per mole of atoms
* total moment: 10.24 μB/cell
* D(E_F): 30.85 states/eV/f.u.
* DFT total energy: -58.4 eV for the cell shown

=====

Entry 11:
Density functional theory data (PBE) for a relaxed Nd2HoPuBi4 crystal.

Lattice parameters (Å, degrees): 7.8848 4.5610 7.8888 90.00 109.43 90.00
Fractional positions:
1 Nd 0.0000 0.0000 0.0000
2 Nd 0.0000 0.5000 0.5000
3 Ho 0.5000 0.0000 0.5000
4 Pu 0.5000 0.5000 0.0000
5 Bi 0.2575 0.0000 0.7508
6 Bi 0.2587 0.5000 0.2546
7 Bi 0.7413 0.5000 0.7454
8 Bi 0.7425 0.0000 0.2492

Output
* energy of formation from the pure elements: -73.0 kJ per mole of atoms
* total moment: 5.12 μB/cell
* D(E_F): 18.00 states/eV/f.u.
* DFT total energy: -50.0 eV for the cell shown

=====

Entry 12:
Density functional theory data (PBE) for a relaxed NdHoBiSb crystal.

Lattice parameters (Å, degrees): 7.7734 7.7734 7.7734 33.59 33.59 33.59
Fractional positions:
1 Nd 0.0000 0.0000 0.0000
2 Ho 0.4960 0.4960 0.4960
3 Bi 0.2447 0.2447 0.2447
4 Sb 0.7514 0.7514 0.7514

Output
* total moment: 0.00 μB/cell
* D(E_F): 0.72 states/eV/f.u.
* DFT total energy: -21.4 eV for the cell shown
* ΔE_f (raw): -1018 meV/atom